1.
The following is a DFT calculation (PBE) of an optimized crystal structure of CaAc2NdSb4.

- Space group: P2/m
- ΔE_f (raw): -1.067 eV per atom

Unit cell a=4.703 b=8.008 c=8.148 alpha=70.15 beta=90.00 gamma=90.00
Atoms (fractional coordinates):
1 Nd 0.000 0.500 0.500
2 Ac 0.000 0.000 0.000
3 Ac 0.500 0.000 0.500
4 Sb 0.000 0.736 0.753
5 Sb 0.500 0.735 0.257
6 Sb 0.500 0.265 0.743
7 Sb 0.000 0.264 0.247
8 Ca 0.500 0.500 0.000

***

2.
The following is a DFT calculation (PBE) of an optimized crystal structure of CaAcNd2Sb4.

- Space group: P2/m
- ΔE_f (raw): -1.064 eV per atom

Unit cell a=4.602 b=8.064 c=7.913 alpha=70.74 beta=90.00 gamma=90.00
Atoms (fractional coordinates):
1 Sb 0.500 0.762 0.241
2 Sb 0.000 0.241 0.248
3 Sb 0.000 0.759 0.752
4 Sb 0.500 0.238 0.759
5 Nd 0.500 0.000 0.500
6 Nd 0.000 0.000 0.000
7 Ca 0.500 0.500 0.000
8 Ac 0.000 0.500 0.500

***

3.
The following is a DFT calculation (PBE) of an optimized crystal structure of CaAcNdSc.

- Space group: F-43m
- E_form: 2.95 kcal/mol of atoms

Unit cell a=5.854 b=5.854 c=5.854 alpha=60.00 beta=60.00 gamma=60.00
Atoms (fractional coordinates):
1 Sc 0.000 0.000 0.000
2 Ac 0.250 0.250 0.250
3 Nd 0.750 0.750 0.750
4 Ca 0.500 0.500 0.500

***

Number 1: total energy -5.0020 eV/atom, M_tot 0.00 μB/cell. Number 2: total energy -5.0810 eV/atom, M_tot 0.00 μB/cell. Number 3: total energy -4.1744 eV/atom, M_tot 0.00 μB/cell.